# 1
The following is a DFT calculation (SCAN) of a crystal of FeCoH relaxed with PBEsol.

Cell lengths 2.5354, 4.3831, 4.8437 Å; angles 116.88, 105.20, 90.00 degrees
With the nearest neighbours (Å) after each atom.
Fractional coordinates of all 6 atoms:
Co 0.1210 0.2864 0.2422  3 H 1.80-1.81
Co 0.8790 0.7136 0.7578  3 H 1.80-1.81
H 0.7504 0.2522 0.5009  3 Co 1.80-1.81, 3 Fe 1.84
H 0.2496 0.7478 0.4991  3 Co 1.80-1.81, 3 Fe 1.84
Fe 0.6153 0.7833 0.2305  3 H 1.84
Fe 0.3847 0.2167 0.7695  3 H 1.84

***

# 2
The following is a DFT calculation (SCAN) of a crystal of Hf2FeCo relaxed with PBEsol.

Properties
- Energy of formation from the pure elements: -405 meV per atom

Cell lengths 4.3842, 4.3842, 4.3842 Å; angles 60.00, 60.00, 60.00 degrees
With the nearest neighbours (Å) after each atom.
Fractional coordinates of all 4 atoms:
Fe 0.0000 0.0000 0.0000  8 Hf 2.68
Co 0.5000 0.5000 0.5000  8 Hf 2.68
Hf 0.7500 0.7500 0.7500  4 Fe 2.68, 4 Co 2.68
Hf 0.2500 0.2500 0.2500  4 Fe 2.68, 4 Co 2.68

***

# 3
The following is a DFT calculation (SCAN) of a crystal of HfTlFeCo2 relaxed with PBEsol.

Properties
- Energy of formation from the pure elements: 859 meV per atom

Cell lengths 4.2781, 4.2781, 4.7148 Å; angles 90.00, 90.00, 90.00 degrees
With the nearest neighbours (Å) after each atom.
Fractional coordinates of all 5 atoms:
Hf 0.5000 0.5000 0.5000  4 Tl 3.03, 8 Co 3.18
Tl 0.0000 0.0000 0.5000  2 Fe 2.36
Fe 0.0000 0.0000 0.0000  4 Co 2.14, 2 Tl 2.36
Co 0.5000 0.0000 0.0000  2 Fe 2.14
Co 0.0000 0.5000 0.0000  2 Fe 2.14

***

# 4
The following is a DFT calculation (SCAN) of a crystal of FeCoHg2 relaxed with PBEsol.

Properties
- Excess energy over the best structure of this formula in the dataset: 0.000 eV/atom
- Energy of formation from the pure elements: 229 meV per atom

Cell lengths 2.9743, 2.9763, 7.1218 Å; angles 90.00, 90.00, 90.00 degrees
With the nearest neighbours (Å) after each atom.
Fractional coordinates of all 4 atoms:
Hg 0.5000 0.5000 0.2928  4 Co 2.77, 1 Fe 2.91, 4 Hg 2.97-2.98
Hg 0.0000 0.0000 0.9600  4 Fe 2.79, 1 Co 2.96, 4 Hg 2.97-2.98
Co 0.0000 0.0000 0.5450  4 Fe 2.38
Fe 0.5000 0.5000 0.7021  4 Co 2.38

***

| no. | calculated total energy (eV/atom) | DOS at the Fermi energy (states/eV/f.u.) |
| --- | --- | --- |
| 1 | -12.9403 | 1.546 |
| 2 | -40.6003 | 1.909 |
| 3 | -36.6950 | 3.277 |
| 4 | -42.7121 | 2.135 |